VASP calculation (GGA-PBE) on Li2AlZn after structural relaxation.

abc: 2.723 2.723 8.646
angles: 90.00 90.00 101.23
Fractional coordinates of all 4 atoms:
Li (0.000, 0.000, 0.247)
Li (0.000, 0.000, 0.753)
Al (0.500, 0.500, 0.500)
Zn (0.500, 0.500, 0.000)

Its total energy is -9.3 eV per cell. As for the density of states at the Fermi level: 0.357 states/eV/atom. The space group is Cmmm. The calculated formation energy is -0.122 eV/atom.